# Zr3TlPt SCAN PBEsol geometry
# crystal system	cubic
# magnetic moment	0.00	μB/cell
# calculated formation energy	-0.729	eV/f.u.
data_Zr3TlPt
_chemical_formula_sum 'Zr3 Tl1 Pt1'
_cell_length_a 5.0417
_cell_length_b 5.0417
_cell_length_c 5.0417
_cell_angle_alpha 90.00
_cell_angle_beta 90.00
_cell_angle_gamma 90.00
_space_group_name_H-M_alt 'P m -3 m'
_space_group_IT_number 221
_space_group_name_Hall '-P 4 2 3'
loop_
_atom_site_label
_atom_site_type_symbol
_atom_site_fract_x
_atom_site_fract_y
_atom_site_fract_z
Zr1 Zr 0.0000 0.0000 0.5000
Tl1 Tl 0.5000 0.5000 0.5000
Pt1 Pt 0.0000 0.0000 0.0000